DFT (GGA-PBE) results for a geometry-optimized NpPbSe2 structure.

abc: 3.9197 3.9197 24.8333
angles: 90.00 90.00 120.00
Space group R3m (No. 160, hexagonal axes)
Inequivalent atoms, fractional coordinates:
Np  0.0000  0.0000  0.0000
Pb  0.0000  0.0000  0.1636
Se  0.0000  0.0000  0.5936
Se  0.0000  0.0000  0.7407

Output
VASP energy, eV per atom: -6.577
ρ, g/cm³: 9.1
DOS at the Fermi energy, states/eV per cell: 28.7
E_form (uncorrected), meV/atom: -672


DFT (GGA-PBE) results for a geometry-optimized NpPbSe3 structure.

abc: 7.648 4.179 9.917
angles: 90.00 91.39 90.00
Space group P2_1/m (No. 11)
Inequivalent atoms, fractional coordinates:
Np  0.075  0.250  0.183
Pb  0.442  0.250  0.802
Se  0.078  0.250  0.677
Se  0.211  0.750  0.012
Se  0.381  0.250  0.339

Output
VASP energy, eV per atom: -6.224
ρ, g/cm³: 7.1
DOS at the Fermi energy, states/eV per cell: 16.8
Energy above the lowest structure with this stoichiometry, meV per atom: 0
E_form (uncorrected), meV/atom: -803


Q: Which value of VASP energy does entry 1 give?
A: -6.577 eV per atom


Q: VASP energy of number 2 (NpPbSe3)?
A: -6.224 eV per atom


Q: Which of these has the lowest DOS at the Fermi energy?
A: NpPbSe3